1.
DFT (PBE) results for a relaxed structure of Sm2YSc.

abc: 3.538 3.538 11.534
angles: 81.18 81.18 60.00
Fractional coordinates of all 4 atoms:
Y (0.000, 0.000, 0.000)
Sc (0.500, 0.500, 0.500)
Sm (0.753, 0.753, 0.740)
Sm (0.247, 0.247, 0.260)

Results
Its space-group type is R-3m. For the offset from the most stable computed form, the calculation gives 0.01 eV per formula unit. For the calculated volume, the calculation gives 123.1 Å³ per cell.



2.
DFT (PBE) results for a relaxed structure of Sm6YSc3.

abc: 6.283 11.437 11.437
angles: 130.86 90.00 90.00
Fractional coordinates of all 20 atoms:
Sm (0.085, 0.736, 0.622)
Sm (0.585, 0.622, 0.736)
Sm (0.322, 0.457, 0.895)
Sm (0.822, 0.895, 0.457)
Sm (0.275, 0.986, 0.014)
Sm (0.803, 0.304, 0.696)
Sm (0.303, 0.696, 0.304)
Sm (0.775, 0.014, 0.986)
Sm (0.322, 0.105, 0.543)
Sm (0.822, 0.543, 0.105)
Sm (0.085, 0.378, 0.264)
Sm (0.585, 0.264, 0.378)
Y (0.011, 0.155, 0.845)
Y (0.511, 0.845, 0.155)
Sc (0.488, 0.958, 0.706)
Sc (0.988, 0.706, 0.958)
Sc (0.105, 0.418, 0.582)
Sc (0.605, 0.582, 0.418)
Sc (0.988, 0.042, 0.294)
Sc (0.488, 0.294, 0.042)

Results
Its space-group type is Cmc2_1. For the offset from the most stable computed form, the calculation gives 0.00 eV per formula unit. For the calculated volume, the calculation gives 621.5 Å³ per cell.



3.
DFT (PBE) results for a relaxed structure of Sm5Y3Sc.

abc: 8.186 8.186 11.194
angles: 70.88 70.88 88.90
Fractional coordinates of all 18 atoms:
Sm (0.945, 0.426, 0.351)
Sm (0.260, 0.740, 0.000)
Sm (0.691, 0.691, 0.077)
Sm (0.489, 0.489, 0.374)
Sm (0.511, 0.511, 0.626)
Sm (0.309, 0.309, 0.923)
Sm (0.426, 0.945, 0.351)
Sm (0.740, 0.260, 0.000)
Sm (0.055, 0.574, 0.649)
Sm (0.574, 0.055, 0.649)
Y (0.646, 0.646, 0.801)
Y (0.795, 0.795, 0.357)
Y (0.000, 0.000, 0.000)
Y (0.000, 0.000, 0.500)
Y (0.354, 0.354, 0.199)
Y (0.205, 0.205, 0.643)
Sc (0.910, 0.910, 0.795)
Sc (0.090, 0.090, 0.205)

Results
Its space-group type is C2/m. For the calculated volume, the calculation gives 666.3 Å³ per cell.



Number 1: ΔE_f 45.1 meV/atom. Number 2: ΔE_f 138.3 meV/atom. Number 3: ΔE_f 587.8 meV/atom.